[1]
The following is a DFT calculation (PBE-GGA) of crystalline InRh2 at its relaxed geometry.

Geometry as extended XYZ:
```
3
Lattice="4.445 0.000 0.000 -2.222 3.849 0.000 0.000 0.000 2.896" Properties=species:S:1:pos:R:3 pbc="T T T"
In 0.000 0.000 0.000
Rh 0.000 2.566 1.448
Rh 2.222 1.283 1.448
```

Results
**E_form**: -0.077 eV per atom
**Total magnetization**: 0.0001 μB/atom

---

[2]
The following is a DFT calculation (PBE-GGA) of crystalline InRh at its relaxed geometry.

Geometry as extended XYZ:
```
8
Lattice="0.000 6.085 7.552 1.554 0.000 7.552 1.554 6.085 0.000" Properties=species:S:1:pos:R:3 pbc="T T T"
In 1.165 0.085 5.664
In 1.942 3.128 9.440
In 1.165 9.043 5.664
In 1.942 12.086 9.440
Rh 1.165 4.564 4.036
Rh 1.165 4.564 7.292
Rh 1.942 7.607 7.812
Rh 1.942 7.607 11.068
```

Results
**E_form**: -0.235 eV per atom
**Total magnetization**: 0.0000 μB/atom

---

[3]
The following is a DFT calculation (PBE-GGA) of crystalline InRh at its relaxed geometry.

Geometry as extended XYZ:
```
4
Lattice="3.550 0.000 0.000 0.000 3.550 0.000 0.000 0.000 5.727" Properties=species:S:1:pos:R:3 pbc="T T T"
In 0.888 0.888 0.951
In 2.663 2.663 4.776
Rh 0.888 0.888 3.756
Rh 2.663 2.663 1.971
```

Results
**E_form**: -0.131 eV per atom
**Total magnetization**: 0.0000 μB/atom

---

[4]
The following is a DFT calculation (PBE-GGA) of crystalline In3Rh2 at its relaxed geometry.

Geometry as extended XYZ:
```
10
Lattice="0.000 6.873 2.840 4.715 0.000 2.840 4.715 6.873 0.000" Properties=species:S:1:pos:R:3 pbc="T T T"
In 0.000 0.000 0.000
In 2.358 3.437 1.420
In 4.207 5.453 2.937
In 5.223 8.293 2.937
In 7.581 8.889 4.357
In 6.565 11.730 4.357
Rh 4.908 2.746 2.536
Rh 6.880 6.183 3.956
Rh 4.523 11.000 2.536
Rh 2.551 7.564 3.956
```

Results
**E_form**: -0.251 eV per atom
**Total magnetization**: 0.0000 μB/atom

---

[5]
The following is a DFT calculation (PBE-GGA) of crystalline InRh2 at its relaxed geometry.

Geometry as extended XYZ:
```
3
Lattice="-1.470 1.930 4.277 1.470 -1.930 4.277 1.470 1.930 -4.277" Properties=species:S:1:pos:R:3 pbc="T T T"
In 0.000 0.000 0.000
Rh 0.000 0.000 2.843
Rh 0.000 0.000 5.712
```

Results
**E_form**: -0.110 eV per atom
**Total magnetization**: 0.2752 μB/atom

---

[6]
The following is a DFT calculation (PBE-GGA) of crystalline InRh at its relaxed geometry.

Geometry as extended XYZ:
```
6
Lattice="5.016 -1.562 0.000 5.016 1.562 0.000 -2.258 0.000 6.749" Properties=species:S:1:pos:R:3 pbc="T T T"
In 0.000 0.000 0.000
In -0.595 0.000 4.148
In 6.655 0.000 2.308
Rh 2.097 0.000 4.550
Rh 3.867 0.000 1.916
Rh 5.059 0.000 6.371
```

Results
**E_form**: -0.267 eV per atom
**Total magnetization**: 0.0000 μB/atom

---

[7]
The following is a DFT calculation (PBE-GGA) of crystalline InRh at its relaxed geometry.

Geometry as extended XYZ:
```
4
Lattice="3.185 0.000 0.000 0.000 4.957 0.000 0.000 0.000 4.519" Properties=species:S:1:pos:R:3 pbc="T T T"
In 0.796 1.239 0.565
In 2.389 3.718 3.954
Rh 0.796 3.718 1.733
Rh 2.389 1.239 2.786
```

Results
**E_form**: -0.193 eV per atom
**Total magnetization**: 0.0000 μB/atom

---

[8]
The following is a DFT calculation (PBE-GGA) of crystalline In3Rh at its relaxed geometry.

Geometry as extended XYZ:
```
4
Lattice="3.740 0.000 0.000 0.000 3.740 0.000 0.000 0.000 5.904" Properties=species:S:1:pos:R:3 pbc="T T T"
In 0.000 0.000 0.000
In 1.870 1.870 1.582
In 1.870 1.870 4.323
Rh 0.000 0.000 2.952
```

Results
**E_form**: -0.035 eV per atom
**Total magnetization**: 0.0000 μB/atom

---

[9]
The following is a DFT calculation (PBE-GGA) of crystalline InRh at its relaxed geometry.

Geometry as extended XYZ:
```
4
Lattice="1.540 0.889 8.972 -1.540 0.889 8.972 0.000 -1.778 8.972" Properties=species:S:1:pos:R:3 pbc="T T T"
In 0.000 0.000 3.134
In 0.000 0.000 23.781
Rh 0.000 0.000 10.023
Rh 0.000 0.000 16.892
```

Results
**E_form**: 0.121 eV per atom
**Total magnetization**: 0.0171 μB/atom

---

[10]
The following is a DFT calculation (PBE-GGA) of crystalline InRh at its relaxed geometry.

Geometry as extended XYZ:
```
2
Lattice="0.000 2.991 2.991 2.991 0.000 2.991 2.991 2.991 0.000" Properties=species:S:1:pos:R:3 pbc="T T T"
In 0.000 0.000 0.000
Rh 1.495 1.495 1.495
```

Results
**E_form**: 0.561 eV per atom
**Total magnetization**: 0.0000 μB/atom

---

[11]
The following is a DFT calculation (PBE-GGA) of crystalline In3Rh at its relaxed geometry.

Geometry as extended XYZ:
```
4
Lattice="4.867 -1.758 0.000 4.867 1.758 0.000 -1.178 0.000 4.878" Properties=species:S:1:pos:R:3 pbc="T T T"
In 0.000 0.000 0.000
In 1.400 0.000 3.529
In 7.157 0.000 1.350
Rh 4.279 0.000 2.439
```

Results
**E_form**: -0.023 eV per atom
**Total magnetization**: 0.0000 μB/atom

---

[12]
The following is a DFT calculation (PBE-GGA) of crystalline In3Rh at its relaxed geometry.

Geometry as extended XYZ:
```
8
Lattice="5.462 0.000 0.000 0.000 5.462 0.000 0.000 0.000 5.462" Properties=species:S:1:pos:R:3 pbc="T T T"
In 0.000 1.366 2.731
In 0.000 4.097 2.731
In 1.366 2.731 0.000
In 2.731 0.000 1.366
In 2.731 0.000 4.097
In 4.097 2.731 0.000
Rh 0.000 0.000 0.000
Rh 2.731 2.731 2.731
```

Results
**E_form**: -0.071 eV per atom
**Total magnetization**: 0.0000 μB/atom

---

Which formula does entry 7 have?
InRh

---

Please write out number 10 again, unchanged.
The following is a DFT calculation (PBE-GGA) of crystalline InRh at its relaxed geometry.

Geometry as extended XYZ:
```
2
Lattice="0.000 2.991 2.991 2.991 0.000 2.991 2.991 2.991 0.000" Properties=species:S:1:pos:R:3 pbc="T T T"
In 0.000 0.000 0.000
Rh 1.495 1.495 1.495
```

Results
**E_form**: 0.561 eV per atom
**Total magnetization**: 0.0000 μB/atom

---

The highest total magnetization belongs to which entry?
number 5